[1]
## CrFeHg3 (PBE)

Data for an optimized crystal structure of CrFeHg3.

Computed properties:
- calculated volume (Å³ per atom) = 25.477
- total moment (μB per formula unit) = 7.23
- E_tot (eV per cell) = -14.9
- formation enthalpy at 0 K (eV per atom) = 0.8276

Cell: 5.032 5.032 5.032 Å, 90.00 90.00 90.00°
Positions (direct):
1 Cr 0.000 0.000 0.000
2 Fe 0.500 0.500 0.500
3 Hg 0.000 0.500 0.500
4 Hg 0.500 0.000 0.500
5 Hg 0.500 0.500 0.000


[2]
## Cr4FeHg (PBE)

Data for an optimized crystal structure of Cr4FeHg.

Computed properties:
- calculated volume (Å³ per atom) = 13.135
- total moment (μB per formula unit) = 1.67
- E_tot (eV per cell) = -44.6
- formation enthalpy at 0 K (eV per atom) = 0.4397

Cell: 4.812 4.812 4.812 Å, 60.00 60.00 60.00°
Positions (direct):
1 Cr 0.125 0.125 0.125
2 Cr 0.125 0.125 0.626
3 Cr 0.125 0.626 0.125
4 Cr 0.626 0.125 0.125
5 Fe 0.750 0.750 0.750
6 Hg 0.500 0.500 0.500


[3]
## CrFe2Hg (PBE)

Data for an optimized crystal structure of CrFe2Hg.

Computed properties:
- calculated volume (Å³ per atom) = 14.490
- total moment (μB per formula unit) = 2.19
- E_tot (eV per cell) = -25.5
- formation enthalpy at 0 K (eV per atom) = 0.3486

Cell: 3.028 3.028 6.321 Å, 90.00 90.00 90.00°
Positions (direct):
1 Cr 0.000 0.000 0.000
2 Fe 0.000 0.000 0.405
3 Fe 0.500 0.500 0.200
4 Hg 0.500 0.500 0.692